Entry 1:
GGA-PBE Nd2Ge3Au2, optimized geometry; DFT formation energy = -4.8 eV per formula unit; E_tot = -4.959 eV/atom; N(E_F) = 2.03 states/eV/f.u.
1.0
-1.4674 4.1684 0.8425
-6.1938 -1.5255 -3.2403
-2.8848 -5.0370 7.8857
Au Ge Nd
4 6 4
Direct
0.3119 0.0508 0.6238
0.6881 0.9492 0.3762
0.6881 0.5508 0.3762
0.3119 0.4492 0.6238
0.5595 0.4296 0.1190
0.4405 0.5704 0.8810
0.2217 0.7500 0.4435
0.4405 0.9296 0.8810
0.7783 0.2500 0.5565
0.5595 0.0704 0.1190
0.8456 0.7500 0.6913
0.9487 0.2500 0.8974
0.1544 0.2500 0.3087
0.0513 0.7500 0.1026

=====

Entry 2:
GGA-PBE ScCrPb2, optimized geometry; DFT formation energy = 0.7 eV per formula unit; E_tot = -5.674 eV/atom; N(E_F) = 3.32 states/eV/f.u.; offset from the most stable computed form = 67 meV per atom
1.0
4.4086 0.0000 0.0000
0.0000 3.3782 -0.0062
0.0000 1.3583 6.3890
Pb Sc Cr
2 1 1
Direct
0.0000 0.5690 0.5049
0.0000 0.9310 0.9951
0.5000 0.2500 0.2500
0.5000 0.7500 0.7500

=====

Entry 3:
GGA-PBE Cd6InSn, optimized geometry; DFT formation energy = 1.5 eV per formula unit; E_tot = -1.345 eV/atom; N(E_F) = 4.14 states/eV/f.u.; offset from the most stable computed form = 147 meV per atom
1.0
5.9727 0.0000 0.0000
2.9864 5.1725 0.0000
2.9864 1.7242 7.8996
Cd In Sn
6 1 1
Direct
0.5571 0.0707 0.3015
0.9293 0.9293 0.6985
0.0707 0.5571 0.3015
0.4429 0.9293 0.6985
0.9293 0.4429 0.6985
0.0707 0.0707 0.3015
0.0000 0.0000 0.0000
0.5000 0.5000 0.5000

=====

Entry 4:
GGA-PBE KCeAs2Pt2, optimized geometry; DFT formation energy = -5.3 eV per formula unit; E_tot = -5.619 eV/atom; N(E_F) = 5.40 states/eV/f.u.
1.0
-3.5366 -1.2242 2.0647
2.8663 -2.9166 -1.2438
4.4015 0.8863 8.0649
K Ce Pt As
1 1 2 2
Direct
0.0000 0.0000 0.0000
0.0000 0.0000 0.5000
0.6667 0.3333 0.3049
0.3333 0.6667 0.6951
0.6667 0.3333 0.7327
0.3333 0.6667 0.2673

=====

Entry 5:
GGA-PBE SmY5Rh6, optimized geometry; DFT formation energy = -9.8 eV per formula unit; E_tot = -7.582 eV/atom; N(E_F) = 7.38 states/eV/f.u.
1.0
4.6149 -0.0276 1.5380
0.0372 6.9243 0.0124
-0.0018 -0.0138 7.6983
Rh Y Sm
6 5 1
Direct
0.5000 0.7473 0.0000
0.8326 0.2511 0.3348
0.1674 0.7489 0.6652
0.1674 0.2511 0.6652
0.5000 0.2527 0.0000
0.8326 0.7489 0.3348
0.6669 0.5000 0.6661
0.6674 0.0000 0.6651
0.3326 0.0000 0.3349
0.0000 0.5000 0.0000
0.3331 0.5000 0.3339
0.0000 0.0000 0.0000

=====

Entry 6:
GGA-PBE Y6Si3O, optimized geometry; E_tot = -7.013 eV/atom; N(E_F) = 9.04 states/eV/f.u.; formation energy without anion corrections = -10.12 eV/f.u.
1.0
6.7254 0.0000 0.0000
0.0000 8.8710 0.0452
0.0000 -1.9355 8.6574
Y Si O
12 6 2
Direct
0.1847 0.1111 0.5754
0.6946 0.2252 0.7748
0.1526 0.0490 0.9510
0.1972 0.6901 0.6359
0.6972 0.6359 0.6901
0.6847 0.8889 0.4246
0.6972 0.3099 0.3641
0.6847 0.5754 0.1111
0.1946 0.7748 0.2252
0.1847 0.4246 0.8889
0.6526 0.9510 0.0490
0.1972 0.3641 0.3099
0.4699 0.2814 0.0646
0.4699 0.9354 0.7186
0.4123 0.3890 0.6110
0.9123 0.6110 0.3890
0.9699 0.7186 0.9354
0.9699 0.0646 0.2814
0.0222 0.1999 0.8001
0.5222 0.8001 0.1999

=====

Entry 7:
GGA-PBE CuNiPd, optimized geometry; DFT formation energy = 0.1 eV per formula unit; E_tot = -4.983 eV/atom; N(E_F) = 4.43 states/eV/f.u.; offset from the most stable computed form = 26 meV per atom
1.0
-2.6459 -0.2414 0.1673
1.4357 -1.8911 -1.2041
0.6262 -3.0391 5.5199
Pd Ni Cu
1 1 1
Direct
0.3333 0.6667 0.6645
0.6667 0.3333 0.3241
0.0000 0.0000 0.0114

=====

Entry 8:
GGA-PBE Nd5Ho2Er12, optimized geometry; DFT formation energy = 3.4 eV per formula unit; E_tot = -4.439 eV/atom; N(E_F) = 26.48 states/eV/f.u.; offset from the most stable computed form = 117 meV per atom
1.0
7.0119 0.0000 0.0000
-3.5060 8.6719 2.8584
0.0000 0.5200 10.3498
Er Ho Nd
12 2 5
Direct
0.0897 0.6740 0.5212
0.4050 0.3159 0.1317
0.9108 0.3159 0.1317
0.5019 0.0038 0.3245
0.5950 0.6841 0.8683
0.0248 0.0496 0.7535
0.5844 0.6740 0.5212
0.9752 0.9504 0.2465
0.4156 0.3260 0.4788
0.0892 0.6841 0.8683
0.4981 0.9962 0.6755
0.9103 0.3260 0.4788
0.2717 0.0000 0.0000
0.7283 0.0000 0.0000
0.8127 0.6254 0.1813
0.1873 0.3746 0.8187
0.6811 0.3623 0.7900
0.0000 0.0000 0.5000
0.3189 0.6377 0.2100

=====

Entry 9:
GGA-PBE SrPm4Pr, optimized geometry; DFT formation energy = 1.3 eV per formula unit; E_tot = -4.020 eV/atom; N(E_F) = 7.83 states/eV/f.u.
1.0
6.9060 0.0000 0.0000
3.4530 5.9808 0.0000
3.4530 1.9936 5.6387
Pm Sr Pr
4 1 1
Direct
0.6278 0.1166 0.6278
0.6278 0.6278 0.1166
0.6278 0.6278 0.6278
0.1166 0.6278 0.6278
0.2500 0.2500 0.2500
0.0000 0.0000 0.0000

=====

Entry 10:
GGA-PBE Ac2LaAl9, optimized geometry; DFT formation energy = -3.9 eV per formula unit; E_tot = -4.228 eV/atom; N(E_F) = 5.08 states/eV/f.u.
1.0
5.8295 0.0000 0.0000
2.9148 5.0485 0.0000
2.9148 1.6828 9.0963
Al Ac La
9 2 1
Direct
0.5822 0.5822 0.7622
0.5000 0.5000 0.5000
0.3349 0.3349 0.9953
0.6651 0.6651 0.0047
0.0734 0.5822 0.7622
0.5822 0.0734 0.7622
0.4178 0.9266 0.2378
0.4178 0.4178 0.2378
0.9266 0.4178 0.2378
0.8594 0.8594 0.4218
0.1406 0.1406 0.5782
0.0000 0.0000 0.0000

=====

Entry 11:
GGA-PBE FeReAgW2, optimized geometry; DFT formation energy = 15.6 eV per formula unit; E_tot = -6.806 eV/atom; N(E_F) = 6.06 states/eV/f.u.
1.0
-4.1692 -0.3073 -2.1603
0.3665 -4.6880 -0.0403
-2.1510 -0.2041 4.1803
Ag Re Fe W
1 1 1 2
Direct
0.0000 0.0000 0.0000
0.0000 0.5000 0.0000
0.5000 0.5000 0.5000
0.5000 0.0000 0.0000
0.0000 0.0000 0.5000

=====

Entry 12:
GGA-PBE Tb3ErAl2, optimized geometry; DFT formation energy = -1.7 eV per formula unit; E_tot = -4.614 eV/atom; N(E_F) = 4.65 states/eV/f.u.; offset from the most stable computed form = 0 meV per atom
1.0
-0.3257 3.4599 3.7401
-4.5183 -3.6693 3.0009
6.8388 -4.5168 4.7740
Al Tb Er
4 6 2
Direct
0.5000 0.2069 0.1480
0.5000 0.7069 0.8520
0.0000 0.2939 0.6471
0.0000 0.7939 0.3529
0.5000 0.6884 0.1782
0.0000 0.4730 0.9599
0.0000 0.3115 0.3256
0.5000 0.1884 0.8218
0.0000 0.8115 0.6744
0.0000 0.9730 0.0401
0.5000 0.0263 0.4587
0.5000 0.5263 0.5413